Entry 1:
# TmPuCoTc PBE-GGA relaxed
# N(E_F)	5.46	states/eV per cell
# electronic total energy	-9.110	eV per atom
# E_form	-0.041	eV/atom
# SG	No. 216
data_TmPuCoTc
_cell_length_a 4.717
_cell_length_b 4.717
_cell_length_c 4.717
_cell_angle_alpha 60.00
_cell_angle_beta 60.00
_cell_angle_gamma 60.00
_space_group_name_H-M_alt 'P 1'
_space_group_IT_number 1
_space_group_name_Hall 'P 1'
loop_
_atom_site_label
_atom_site_type_symbol
_atom_site_fract_x
_atom_site_fract_y
_atom_site_fract_z
Tm1 Tm 0.000 0.000 0.000
Pu1 Pu 0.500 0.500 0.500
Co1 Co 0.250 0.250 0.250
Tc1 Tc 0.750 0.750 0.750

---

Entry 2:
# Tl3BiSe4 PBE-GGA relaxed
# N(E_F)	0.46	states/eV per cell
# ΔE_f (raw)	-0.350	eV per atom
# electronic total energy	-3.465	eV per atom
# excess energy over the best structure of this formula in the dataset	0.0	meV/atom
# SG	No. 166
data_Tl3BiSe4
_cell_length_a 15.243
_cell_length_b 15.243
_cell_length_c 15.243
_cell_angle_alpha 16.13
_cell_angle_beta 16.13
_cell_angle_gamma 16.13
_space_group_name_H-M_alt 'P 1'
_space_group_IT_number 1
_space_group_name_Hall 'P 1'
loop_
_atom_site_label
_atom_site_type_symbol
_atom_site_fract_x
_atom_site_fract_y
_atom_site_fract_z
Tl1 Tl 0.000 0.000 0.000
Tl2 Tl 0.251 0.251 0.251
Tl3 Tl 0.749 0.749 0.749
Bi1 Bi 0.500 0.500 0.500
Se1 Se 0.130 0.130 0.130
Se2 Se 0.369 0.369 0.369
Se3 Se 0.631 0.631 0.631
Se4 Se 0.870 0.870 0.870

---

Entry 3:
# PdCl3 PBE-GGA relaxed
# N(E_F)	6.73	states/eV per cell
# ΔE_f (raw)	0.529	eV per atom
# electronic total energy	-2.154	eV per atom
# SG	No. 225
data_PdCl3
_cell_length_a 4.744
_cell_length_b 4.744
_cell_length_c 4.744
_cell_angle_alpha 60.00
_cell_angle_beta 60.00
_cell_angle_gamma 60.00
_space_group_name_H-M_alt 'P 1'
_space_group_IT_number 1
_space_group_name_Hall 'P 1'
loop_
_atom_site_label
_atom_site_type_symbol
_atom_site_fract_x
_atom_site_fract_y
_atom_site_fract_z
Pd1 Pd 0.000 0.000 0.000
Cl1 Cl 0.250 0.250 0.250
Cl2 Cl 0.500 0.500 0.500
Cl3 Cl 0.750 0.750 0.750

---

Entry 4:
# KRbCa PBE-GGA relaxed
# N(E_F)	3.24	states/eV per cell
# electronic total energy	-1.198	eV per atom
# excess energy over the best structure of this formula in the dataset	0.1	meV/atom
# E_form	0.158	eV/atom
# SG	No. 156
data_KRbCa
_cell_length_a 4.346
_cell_length_b 4.346
_cell_length_c 11.456
_cell_angle_alpha 90.00
_cell_angle_beta 90.00
_cell_angle_gamma 120.00
_space_group_name_H-M_alt 'P 1'
_space_group_IT_number 1
_space_group_name_Hall 'P 1'
loop_
_atom_site_label
_atom_site_type_symbol
_atom_site_fract_x
_atom_site_fract_y
_atom_site_fract_z
K1 K 0.000 0.000 0.000
Rb1 Rb 0.667 0.333 0.369
Ca1 Ca 0.333 0.667 0.692